A:
Li3CrGe | PBE | optimized geometry

Cell: 4.7653 4.7653 4.7653 Å, 90.00 90.00 90.00°
Last column: nearest neighbours and their distance in Å.
Space group Pm-3m (No. 221)
Symmetry-distinct sites (fractional):
Li  0.0000  0.0000  0.5000 (multiplicity 3)  2 Cr 2.38
Cr  0.0000  0.0000  0.0000 (multiplicity 1)  6 Li 2.38
Ge  0.5000  0.5000  0.5000 (multiplicity 1)  12 Li 3.37

**Magnetization**: 0.9063 μB per atom
**Volume**: 108.2 Å³/f.u.

***

B:
Li3CrGe | PBE | optimized geometry

Cell: 4.7329 4.7329 4.7329 Å, 90.00 90.00 90.00°
Last column: nearest neighbours and their distance in Å.
Space group Pm-3m (No. 221)
Symmetry-distinct sites (fractional):
Li  0.0000  0.0000  0.5000 (multiplicity 3)  2 Ge 2.37
Cr  0.5000  0.5000  0.5000 (multiplicity 1)  12 Li 3.35
Ge  0.0000  0.0000  0.0000 (multiplicity 1)  6 Li 2.37

**Magnetization**: 0.9835 μB per atom
**Volume**: 106.0 Å³/f.u.

***

Short version: A is the least stable of them.

***

A:
LiCr3Ge | PBE | optimized geometry

Cell: 4.8550 4.8550 4.8550 Å, 90.00 90.00 90.00°
Last column: nearest neighbours and their distance in Å.
Space group Pm-3m (No. 221)
Symmetry-distinct sites (fractional):
Li  0.0000  0.0000  0.0000 (multiplicity 1)  12 Cr 3.43
Cr  0.0000  0.5000  0.5000 (multiplicity 3)  2 Ge 2.43
Ge  0.5000  0.5000  0.5000 (multiplicity 1)  6 Cr 2.43

**Magnetization**: 2.5445 μB per atom
**Volume**: 114.4 Å³/f.u.

***

B:
LiCr3Ge | PBE | optimized geometry

Cell: 3.9923 3.9923 3.9923 Å, 90.00 90.00 90.00°
Last column: nearest neighbours and their distance in Å.
Space group Pm-3m (No. 221)
Symmetry-distinct sites (fractional):
Li  0.0000  0.0000  0.0000 (multiplicity 1)  6 Cr 2.00
Cr  0.0000  0.0000  0.5000 (multiplicity 3)  2 Li 2.00
Ge  0.5000  0.5000  0.5000 (multiplicity 1)  12 Cr 2.82

**Magnetization**: 0.6206 μB per atom
**Volume**: 63.6 Å³/f.u.

***

Short version: B is the least stable of them.

***

A:
MnCrGe3 | PBE | optimized geometry

Cell: 4.5945 4.5945 4.5945 Å, 90.00 90.00 90.00°
Last column: nearest neighbours and their distance in Å.
Space group Pm-3m (No. 221)
Symmetry-distinct sites (fractional):
Mn  0.0000  0.0000  0.0000 (multiplicity 1)  6 Ge 2.30
Cr  0.5000  0.5000  0.5000 (multiplicity 1)  12 Ge 3.25
Ge  0.0000  0.0000  0.5000 (multiplicity 3)  2 Mn 2.30

**Magnetization**: 1.2266 μB per atom
**Volume**: 97.0 Å³/f.u.

***

B:
MnCrGe3 | PBE | optimized geometry

Cell: 13.4708 11.8260 4.0704 Å, 90.00 107.44 90.00°
Last column: nearest neighbours and their distance in Å.
Space group C2/c (No. 15)
Symmetry-distinct sites (fractional):
Mn  0.0000  0.0772  0.2500 (multiplicity 4)  8 Ge 2.64-2.72, 4 Mn 2.69-2.73
Mn  0.0000  0.2253  0.7500 (multiplicity 4)  8 Ge 2.43-2.72, 2 Mn 2.69
Cr  0.2266  0.4396  0.4763 (multiplicity 8)  7 Ge 2.44-2.68, 2 Cr 2.49
Ge  0.1019  0.4041  0.8523 (multiplicity 8)  3 Cr 2.45-2.63, 1 Mn 2.49, 1 Ge 2.62
Ge  0.1394  0.2462  0.3886 (multiplicity 8)  2 Cr 2.55-2.79, 3 Mn 2.68-2.72, 5 Ge 2.77-2.85
Ge  0.1398  0.0864  0.8897 (multiplicity 8)  4 Mn 2.43-2.72, 3 Cr 2.44-2.68

**Magnetization**: 0.5574 μB per atom
**Volume**: 77.3 Å³/f.u.

***

Short version: A is the least stable of them.

***

A:
Mn3CrGe | PBE | optimized geometry

Cell: 4.3580 4.3580 4.3580 Å, 90.00 90.00 90.00°
Last column: nearest neighbours and their distance in Å.
Space group Pm-3m (No. 221)
Symmetry-distinct sites (fractional):
Mn  0.0000  0.0000  0.5000 (multiplicity 3)  2 Cr 2.18
Cr  0.0000  0.0000  0.0000 (multiplicity 1)  6 Mn 2.18
Ge  0.5000  0.5000  0.5000 (multiplicity 1)  12 Mn 3.08

**Magnetization**: 1.2770 μB per atom
**Volume**: 82.8 Å³/f.u.

***

B:
Mn3CrGe | PBE | optimized geometry

Cell: 8.5206 3.2833 6.0259 Å, 90.00 134.27 90.00°
Last column: nearest neighbours and their distance in Å.
Space group Cm (No. 8)
Symmetry-distinct sites (fractional):
Mn  0.0000  0.0000  0.0000 (multiplicity 2)  6 Mn 2.50-2.74, 3 Ge 2.53-2.69, 3 Cr 2.56-2.66
Mn  0.1033  0.5000  0.3970 (multiplicity 2)  3 Cr 2.46-2.73, 6 Mn 2.50-2.74, 3 Ge 2.54-2.75
Mn  0.2961  0.5000  0.1987 (multiplicity 2)  2 Cr 2.48, 6 Mn 2.51-2.71, 3 Ge 2.54-2.74
Cr  0.3889  0.0000  0.5834 (multiplicity 2)  8 Mn 2.46-2.73, 3 Ge 2.56-2.69
Ge  0.1980  0.0000  0.7967 (multiplicity 2)  9 Mn 2.53-2.75, 3 Cr 2.56-2.69

**Magnetization**: 0.1448 μB per atom
**Volume**: 60.4 Å³/f.u.

***

Short version: A is the least stable of them.

***

A:
Cr2Ge2N | PBE | optimized geometry

Cell: 5.2400 5.2400 4.8320 Å, 90.00 90.00 90.00°
Last column: nearest neighbours and their distance in Å.
Space group P4/mbm (No. 127)
Symmetry-distinct sites (fractional):
Cr  0.1803  0.3197  0.0000 (multiplicity 4)  2 N 1.92
Ge  0.1918  0.6918  0.5000 (multiplicity 4)  2 Cr 2.60, 5 Ge 2.69-2.84
N  0.0000  0.0000  0.0000 (multiplicity 2)  4 Cr 1.92

**Magnetization**: 0.4979 μB per atom
**Volume**: 66.3 Å³/f.u.

***

B:
Cr2Ge2N | PBE | optimized geometry

Cell: 3.3730 3.3730 12.3582 Å, 90.00 90.00 90.00°
Last column: nearest neighbours and their distance in Å.
Space group I4/mmm (No. 139)
Symmetry-distinct sites (fractional):
Cr  0.0000  0.0000  0.0932 (multiplicity 4)  1 Cr 2.30, 4 Ge 2.57
Ge  0.0000  0.5000  0.2500 (multiplicity 4)  4 Ge 2.39, 4 Cr 2.57
N  0.0000  0.0000  0.5000 (multiplicity 2)  8 Cr 2.65

**Magnetization**: 0.7115 μB per atom
**Volume**: 70.3 Å³/f.u.

***

Short version: B is the least stable of them.

***

A:
CrGeSN2 | PBE | optimized geometry

Cell: 3.7247 3.7247 5.0646 Å, 90.00 90.00 90.00°
Last column: nearest neighbours and their distance in Å.
Space group P4/mmm (No. 123)
Symmetry-distinct sites (fractional):
Cr  0.0000  0.0000  0.0000 (multiplicity 1)  4 S 2.63
Ge  0.5000  0.5000  0.5000 (multiplicity 1)  4 N 1.86
S  0.5000  0.5000  0.0000 (multiplicity 1)  2 Ge 2.53, 4 Cr 2.63
N  0.0000  0.5000  0.5000 (multiplicity 2)  2 Ge 1.86

**Magnetization**: 0.4982 μB per atom
**Volume**: 70.3 Å³/f.u.

***

B:
CrGeSN2 | PBE | optimized geometry

Cell: 3.6817 3.6817 4.9564 Å, 90.00 90.00 90.00°
Last column: nearest neighbours and their distance in Å.
Space group P4/mmm (No. 123)
Symmetry-distinct sites (fractional):
Cr  0.0000  0.0000  0.0000 (multiplicity 1)  4 N 1.84
Ge  0.5000  0.5000  0.5000 (multiplicity 1)  4 S 2.60
S  0.0000  0.0000  0.5000 (multiplicity 1)  2 Cr 2.48, 4 Ge 2.60
N  0.0000  0.5000  0.0000 (multiplicity 2)  2 Cr 1.84

**Magnetization**: 0.0001 μB per atom
**Volume**: 67.2 Å³/f.u.

***

Short version: A is the least stable of them.